Entry from the Alexandria database: a relaxed Ta2AlRu crystal (PBE).

abc: 5.359 5.359 4.597
angles: 65.19 65.19 33.41
Fractional positions:
Ru1 0.250 0.250 0.253
Ta1 0.743 0.743 0.758
Ta2 0.987 0.987 0.010
Al1 0.519 0.519 0.478

Computed properties:
symmetry = Cm, No. 8
D(E_F) = 0.679 states/eV/atom
electronic total energy = -37.9 eV/cell
ΔH_f (0 K) = -0.282 eV per atom